Material: Pr2LuPu
Method: DFT, GGA-PBE
State: optimized geometry

Results
The value obtained for the electronic total energy is -27.9 eV/f.u. Its symmetry is P4/mmm (123). For the energy of formation, the calculation gives 119 meV per atom. The distance to the lowest polymorph of the same formula is 0.0 meV/atom. The value obtained for the size of the total moment is 5.8 Bohr magnetons per cell.

Unit cell a=3.5807 b=3.5807 c=10.1107 alpha=90.00 beta=90.00 gamma=90.00
With the nearest neighbours (Å) after each atom.
Fractional positions:
Pr  0.0000  0.0000  0.2499  4 Lu 3.58, 4 Pu 3.58, 4 Pr 3.58
Pr  0.0000  0.0000  0.7501  4 Lu 3.58, 4 Pu 3.58, 4 Pr 3.58
Lu  0.5000  0.5000  0.0000  8 Pr 3.58, 4 Lu 3.58
Pu  0.5000  0.5000  0.5000  8 Pr 3.58, 4 Pu 3.58


Material: Al2CuSn
Method: DFT, GGA-PBE
State: optimized geometry

Results
The value obtained for the electronic total energy is -15.1 eV/f.u. Its symmetry is I-42d (122). For the energy of formation, the calculation gives 127 meV per atom. The value obtained for the size of the total moment is 0.0 Bohr magnetons per cell.

Unit cell a=8.8832 b=8.8832 c=8.8832 alpha=151.14 beta=151.14 gamma=41.27
With the nearest neighbours (Å) after each atom.
Fractional positions:
Al  0.0486  0.6250  0.9236  2 Cu 2.48, 2 Al 2.70, 2 Sn 2.76
Al  0.3750  0.2986  0.4236  2 Cu 2.48, 2 Al 2.70, 2 Sn 2.76
Al  0.7014  0.1250  0.0764  2 Cu 2.48, 2 Al 2.70, 2 Sn 2.76
Al  0.8750  0.9514  0.5764  2 Cu 2.48, 2 Al 2.70, 2 Sn 2.76
Cu  0.0000  0.0000  0.0000  4 Al 2.48
Cu  0.7500  0.2500  0.5000  4 Al 2.48
Sn  0.2500  0.7500  0.5000  4 Al 2.76
Sn  0.5000  0.5000  0.0000  4 Al 2.76


Material: RbHoScI6
Method: DFT, GGA-PBE
State: optimized geometry

Results
The value obtained for the electronic total energy is -32.8 eV/f.u. Its symmetry is P-31c (163). As for the uncorrected formation energy: -1.290 eV/atom. The value obtained for the size of the total moment is 2.1 Bohr magnetons per cell.

Unit cell a=7.6666 b=7.6666 c=16.9509 alpha=90.00 beta=90.00 gamma=120.00
With the nearest neighbours (Å) after each atom.
Fractional positions:
Rb  0.0000  0.0000  0.0000  6 I 3.73
Rb  0.0000  0.0000  0.5000  6 I 3.73
Ho  0.3333  0.6667  0.2500  6 I 3.04
Ho  0.6667  0.3333  0.7500  6 I 3.04
Sc  0.3333  0.6667  0.7500  6 I 2.98
Sc  0.6667  0.3333  0.2500  6 I 2.98
I  0.0059  0.3667  0.6465  1 Sc 2.98, 1 Ho 3.04
I  0.0059  0.6391  0.8535  1 Sc 2.98, 1 Ho 3.04
I  0.3609  0.3667  0.8535  1 Sc 2.98, 1 Ho 3.04
I  0.3609  0.9941  0.6465  1 Sc 2.98, 1 Ho 3.04
I  0.3667  0.0059  0.1465  1 Sc 2.98, 1 Ho 3.04
I  0.3667  0.3609  0.3535  1 Sc 2.98, 1 Ho 3.04
I  0.6333  0.6391  0.6465  1 Sc 2.98, 1 Ho 3.04
I  0.6333  0.9941  0.8535  1 Sc 2.98, 1 Ho 3.04
I  0.6391  0.0059  0.3535  1 Sc 2.98, 1 Ho 3.04
I  0.6391  0.6333  0.1465  1 Sc 2.98, 1 Ho 3.04
I  0.9941  0.3609  0.1465  1 Sc 2.98, 1 Ho 3.04
I  0.9941  0.6333  0.3535  1 Sc 2.98, 1 Ho 3.04


Material: SiPbCl2
Method: DFT, GGA-PBE
State: optimized geometry

Results
The value obtained for the electronic total energy is -13.2 eV/f.u. Its symmetry is R3m (160). As for the uncorrected formation energy: -0.094 eV/atom. The distance to the lowest polymorph of the same formula is 288.4 meV/atom. The value obtained for the size of the total moment is 0.0 Bohr magnetons per cell.

Unit cell a=10.1499 b=10.1499 c=10.1499 alpha=19.55 beta=19.55 gamma=19.55
With the nearest neighbours (Å) after each atom.
Fractional positions:
Si  0.0000  0.0000  0.0000  3 Cl 2.62
Pb  0.7594  0.7594  0.7594  3 Cl 2.88
Cl  0.2764  0.2764  0.2764  3 Si 2.62
Cl  0.4956  0.4956  0.4956  3 Pb 2.88


Material: Ba4MgZn
Method: DFT, GGA-PBE
State: optimized geometry

Results
The value obtained for the electronic total energy is -10.1 eV/f.u. Its symmetry is P1 (1). For the energy of formation, the calculation gives 71 meV per atom. The distance to the lowest polymorph of the same formula is 150.8 meV/atom. The value obtained for the size of the total moment is 0.0 Bohr magnetons per cell.

Unit cell a=5.9298 b=5.9320 c=8.6478 alpha=89.98 beta=89.99 gamma=90.00
With the nearest neighbours (Å) after each atom.
Fractional positions:
Ba  0.0000  0.0000  0.0000  2 Zn 3.58, 2 Mg 3.76
Ba  0.0003  0.0007  0.4640  2 Zn 3.58, 2 Mg 3.76
Ba  0.4999  0.4997  0.0000  2 Zn 3.58, 2 Mg 3.76
Ba  0.5002  0.5005  0.4640  2 Zn 3.58, 2 Mg 3.76-3.77
Mg  0.5003  0.9997  0.7321  8 Ba 3.76-3.77
Zn  0.9999  0.5006  0.2320  8 Ba 3.58


Material: RbLaI2Cl
Method: DFT, GGA-PBE
State: optimized geometry

Results
The value obtained for the electronic total energy is -18.4 eV/f.u. Its symmetry is P4/mmm (123). As for the uncorrected formation energy: -1.514 eV/atom. The distance to the lowest polymorph of the same formula is 0.0 meV/atom. The value obtained for the size of the total moment is 0.5 Bohr magnetons per cell.

Unit cell a=6.3761 b=6.3761 c=5.5849 alpha=90.00 beta=90.00 gamma=90.00
With the nearest neighbours (Å) after each atom.
Fractional positions:
Rb  0.0000  0.0000  0.0000  8 I 4.24, 4 Cl 4.51
La  0.5000  0.5000  0.5000  2 Cl 2.79
I  0.0000  0.5000  0.5000  2 La 3.19
I  0.5000  0.0000  0.5000  2 La 3.19
Cl  0.5000  0.5000  0.0000  2 La 2.79


Material: InSiPO2
Method: DFT, GGA-PBE
State: optimized geometry

Results
The value obtained for the electronic total energy is -22.3 eV/f.u. Its symmetry is P4/mmm (123). As for the uncorrected formation energy: 0.234 eV/atom. The distance to the lowest polymorph of the same formula is 1191.7 meV/atom. The value obtained for the size of the total moment is 1.3 Bohr magnetons per cell.

Unit cell a=4.0012 b=4.0012 c=5.5597 alpha=90.00 beta=90.00 gamma=90.00
With the nearest neighbours (Å) after each atom.
Fractional positions:
In  0.0000  0.0000  0.0000  4 O 2.00
Si  0.5000  0.5000  0.5000  4 P 2.83
P  0.0000  0.0000  0.5000  2 In 2.78, 4 Si 2.83
O  0.0000  0.5000  0.0000  2 In 2.00
O  0.5000  0.0000  0.0000  2 In 2.00


Material: Co2PtSe6
Method: DFT, GGA-PBE
State: optimized geometry

Results
The value obtained for the electronic total energy is -43.7 eV/f.u. Its symmetry is C2/m (12). As for the uncorrected formation energy: -0.281 eV/atom. The value obtained for the size of the total moment is 0.0 Bohr magnetons per cell.

Unit cell a=7.8642 b=7.8642 c=6.9897 alpha=102.14 beta=102.14 gamma=26.40
With the nearest neighbours (Å) after each atom.
Fractional positions:
Co  0.1733  0.1733  0.3527  6 Se 2.35-2.42
Co  0.8267  0.8267  0.6473  6 Se 2.35-2.42
Pt  0.5000  0.5000  0.0000  6 Se 2.51-2.53
Se  0.0130  0.0130  0.2547  1 Co 2.40, 2 Pt 2.51
Se  0.3306  0.3306  0.4270  3 Co 2.35-2.38
Se  0.3315  0.3315  0.8804  2 Co 2.42, 1 Pt 2.53
Se  0.6685  0.6685  0.1196  2 Co 2.42, 1 Pt 2.53
Se  0.6694  0.6694  0.5730  3 Co 2.35-2.38
Se  0.9870  0.9870  0.7453  1 Co 2.40, 2 Pt 2.51


Material: KSn2Se4
Method: DFT, GGA-PBE
State: optimized geometry

Results
The value obtained for the electronic total energy is -27.0 eV/f.u. Its symmetry is Pnma (62). As for the uncorrected formation energy: -0.567 eV/atom. The value obtained for the size of the total moment is 0.0 Bohr magnetons per cell.

Unit cell a=16.3383 b=9.0730 c=6.7040 alpha=90.00 beta=90.00 gamma=90.00
With the nearest neighbours (Å) after each atom.
Fractional positions:
K  0.2368  0.2500  0.0029  6 Se 3.34-3.43
K  0.2632  0.7500  0.5029  6 Se 3.34-3.43
K  0.7368  0.2500  0.4971  6 Se 3.34-3.43
K  0.7632  0.7500  0.9971  6 Se 3.34-3.43
Sn  0.0000  0.0000  0.5000  6 Se 2.84-2.95
Sn  0.0000  0.5000  0.5000  6 Se 2.84-2.95
Sn  0.0708  0.7500  0.0992  4 Se 2.55-2.62
Sn  0.4292  0.2500  0.5992  4 Se 2.55-2.62
Sn  0.5000  0.0000  0.0000  6 Se 2.84-2.95
Sn  0.5000  0.5000  0.0000  6 Se 2.84-2.95
Sn  0.5708  0.7500  0.4008  4 Se 2.55-2.62
Sn  0.9292  0.2500  0.9008  4 Se 2.55-2.62
Se  0.0689  0.2500  0.7092  3 Sn 2.62-2.89
Se  0.0727  0.7500  0.7172  1 Sn 2.56
Se  0.1377  0.5191  0.2423  2 Sn 2.55-2.84
Se  0.1377  0.9809  0.2423  2 Sn 2.55-2.84
Se  0.3623  0.0191  0.7423  2 Sn 2.55-2.84
Se  0.3623  0.4809  0.7423  2 Sn 2.55-2.84
Se  0.4273  0.2500  0.2172  1 Sn 2.56
Se  0.4311  0.7500  0.2092  3 Sn 2.62-2.89
Se  0.5689  0.2500  0.7908  3 Sn 2.62-2.89
Se  0.5727  0.7500  0.7828  1 Sn 2.56
Se  0.6377  0.5191  0.2577  2 Sn 2.55-2.84
Se  0.6377  0.9809  0.2577  2 Sn 2.55-2.84
Se  0.8623  0.0191  0.7577  2 Sn 2.55-2.84
Se  0.8623  0.4809  0.7577  2 Sn 2.55-2.84
Se  0.9273  0.2500  0.2828  1 Sn 2.56
Se  0.9311  0.7500  0.2908  3 Sn 2.62-2.89


Material: LaYSc2
Method: DFT, GGA-PBE
State: optimized geometry

Results
The value obtained for the electronic total energy is -23.4 eV/f.u. Its symmetry is Cmmm (65). For the energy of formation, the calculation gives 167 meV per atom. The distance to the lowest polymorph of the same formula is 115.1 meV/atom. The value obtained for the size of the total moment is 0.0 Bohr magnetons per cell.

Unit cell a=3.3722 b=3.3722 c=11.3153 alpha=90.00 beta=90.00 gamma=114.05
With the nearest neighbours (Å) after each atom.
Fractional positions:
La  0.0000  0.0000  0.0000  6 La 3.37-3.67, 4 Sc 3.45
Y  0.0000  0.0000  0.5000  4 Sc 3.30, 6 Y 3.37-3.67
Sc  0.5000  0.5000  0.2581  2 Y 3.30, 6 Sc 3.37-3.67, 2 La 3.45
Sc  0.5000  0.5000  0.7419  2 Y 3.30, 6 Sc 3.37-3.67, 2 La 3.45


Material: LiTaP2
Method: DFT, GGA-PBE
State: optimized geometry

Results
The value obtained for the electronic total energy is -26.2 eV/f.u. Its symmetry is Cm (8). For the energy of formation, the calculation gives -403 meV per atom. The distance to the lowest polymorph of the same formula is 164.1 meV/atom. The value obtained for the size of the total moment is 0.0 Bohr magnetons per cell.

Unit cell a=4.8104 b=4.8104 c=3.9828 alpha=97.16 beta=97.16 gamma=41.08
With the nearest neighbours (Å) after each atom.
Fractional positions:
Li  0.0000  0.0000  0.0000  5 P 2.43-2.68
Ta  0.7453  0.7453  0.4950  7 P 2.57-2.67, 1 Li 2.84
P  0.2688  0.2688  0.9856  1 P 2.37, 1 Li 2.43, 2 Ta 2.57
P  0.4585  0.4585  0.4595  1 P 2.37, 2 Li 2.55, 3 Ta 2.57-2.58